1.
The following is a GGA-PBE calculation of a geometry-optimized V4CrC structure, from the Alexandria database.

Output
Volume: 148.7 Å³/cell
Space group: P2_1/c, No. 14
Energy of formation: 0.6 kJ/mol of atoms
E_tot: -0.6772 Ry/atom

Cell lengths 4.8858, 5.8620, 5.3548 Å; angles 104.10, 90.00, 90.00 degrees
Closest atoms and distances in Å follow each position.
Sites, in units of the cell vectors:
V: 0.1526 0.6978 0.0996  2 C 2.05-2.11
V: 0.3474 0.1978 0.0996  2 C 2.05-2.11
V: 0.6015 0.6293 0.3579  1 C 1.95, 1 Cr 2.18
V: 0.1015 0.8707 0.6421  1 C 1.95, 1 Cr 2.18
V: 0.8985 0.1293 0.3579  1 C 1.95, 1 Cr 2.18
V: 0.3985 0.3707 0.6421  1 C 1.95, 1 Cr 2.18
V: 0.6526 0.8022 0.9004  2 C 2.05-2.11
V: 0.8474 0.3022 0.9004  2 C 2.05-2.11
Cr: 0.0000 0.5000 0.5000  4 V 2.18-2.29
Cr: 0.5000 0.0000 0.5000  4 V 2.18-2.29
C: 0.5000 0.5000 0.0000  6 V 1.95-2.11
C: 0.0000 0.0000 0.0000  6 V 1.95-2.11


2.
The following is a GGA-PBE calculation of a geometry-optimized LiAlN3 structure, from the Alexandria database.

Output
Uncorrected formation energy: 1.72 eV/atom
Volume: 42.8 Å³/cell
Space group: Pm-3m, No. 221
E_tot: -0.3237 Ry/atom

Cell lengths 3.4989, 3.4989, 3.4989 Å; angles 90.00, 90.00, 90.00 degrees
Closest atoms and distances in Å follow each position.
Sites, in units of the cell vectors:
Li: 0.0000 0.0000 0.0000  6 N 1.75
Al: 0.5000 0.5000 0.5000  12 N 2.47
N: 0.0000 0.5000 0.0000  2 Li 1.75
N: 0.0000 0.0000 0.5000  2 Li 1.75
N: 0.5000 0.0000 0.0000  2 Li 1.75


3.
The following is a GGA-PBE calculation of a geometry-optimized Li2BPtRh structure, from the Alexandria database.

Output
Volume: 65.4 Å³/cell
Space group: P4/mmm, No. 123
Energy of formation: 4.4 kJ/mol of atoms
E_tot: -0.3479 Ry/atom

Cell lengths 4.0941, 3.9000, 4.0941 Å; angles 90.00, 90.00, 90.00 degrees
Closest atoms and distances in Å follow each position.
Sites, in units of the cell vectors:
B: 0.0000 0.0000 0.0000  2 Rh 1.95, 4 Li 2.05
Rh: 0.0000 0.5000 0.0000  2 B 1.95
Pt: 0.5000 0.5000 0.5000  8 Li 2.83, 4 Rh 2.90
Li: 0.0000 0.0000 0.5000  2 B 2.05
Li: 0.5000 0.0000 0.0000  2 B 2.05


4.
The following is a GGA-PBE calculation of a geometry-optimized MnIn2Ir structure, from the Alexandria database.

Output
Volume: 69.9 Å³/cell
Space group: Cmmm, No. 65
Energy of formation: 11.6 kJ/mol of atoms
E_tot: -0.4231 Ry/atom

Cell lengths 4.8005, 4.8005, 3.1180 Å; angles 90.00, 90.00, 103.51 degrees
Closest atoms and distances in Å follow each position.
Sites, in units of the cell vectors:
In: 0.0000 0.0000 0.0000  4 Mn 2.86, 4 Ir 2.86, 4 In 2.97-3.12
In: 0.5000 0.5000 0.0000  4 Ir 2.86, 4 Mn 2.86, 4 In 2.97-3.12
Ir: 0.5000 0.0000 0.5000  8 In 2.86, 2 Mn 2.97, 2 Ir 3.12
Mn: 0.0000 0.5000 0.5000  8 In 2.86, 2 Ir 2.97, 2 Mn 3.12


> volume of number 2 (LiAlN3)?

42.8 Å³/cell


> The highest E_tot belongs to which entry?

LiAlN3